Density functional theory data (PBE) for crystalline ZrV2RhN at its relaxed geometry.

Computed properties:
Space-group type: No. 123
VASP energy (eV per atom): -9.2247
Magnetic moment (μB/atom): 0.03
E_form (uncorrected) (eV per atom): -0.732

a = 3.9210 Å, b = 3.9210 Å, c = 4.5048 Å
α = 90.00°, β = 90.00°, γ = 90.00°
With the nearest neighbours (Å) after each atom.
Atoms (fractional coordinates):
1 Zr 0.0000 0.0000 0.0000  2 N 2.25
2 V 0.0000 0.5000 0.5000  2 N 1.96
3 V 0.5000 0.0000 0.5000  2 N 1.96
4 Rh 0.5000 0.5000 0.0000  4 Zr 2.77, 8 V 2.99
5 N 0.0000 0.0000 0.5000  4 V 1.96

***

Density functional theory data (PBE) for crystalline Al4Ga3Ag at its relaxed geometry.

Computed properties:
Space-group type: No. 44
VASP energy (eV per atom): -3.2948
Calculated formation energy (kJ/mol of atoms): 6.56
Magnetic moment (μB/atom): 0.00

a = 6.1519 Å, b = 6.1519 Å, c = 6.1519 Å
α = 125.14°, β = 78.64°, γ = 128.42°
With the nearest neighbours (Å) after each atom.
Atoms (fractional coordinates):
1 Al 0.2145 0.4590 0.2444  1 Ag 2.74, 4 Al 2.77-2.90, 3 Ga 2.77-2.83
2 Al 0.2145 0.9701 0.7556  1 Ag 2.74, 4 Al 2.77-2.90, 3 Ga 2.77-2.83
3 Al 0.2301 0.0000 0.2301  1 Ag 2.69, 5 Ga 2.72-2.84, 2 Al 2.83
4 Al 0.7699 0.0000 0.7699  1 Ag 2.69, 5 Ga 2.72-2.84, 2 Al 2.83
5 Ga 0.2166 0.4994 0.7172  6 Al 2.72-2.84, 1 Ag 2.79, 1 Ga 2.85
6 Ga 0.6757 0.6757 0.0000  4 Al 2.79-2.83, 2 Ag 2.84, 2 Ga 2.85
7 Ga 0.7822 0.4994 0.2828  6 Al 2.72-2.84, 1 Ag 2.79, 1 Ga 2.85
8 Ag 0.6489 0.1489 0.5000  4 Al 2.69-2.74, 4 Ga 2.79-2.84

***

Density functional theory data (PBE) for crystalline PuAgSeS at its relaxed geometry.

Computed properties:
Space-group type: No. 166
VASP energy (eV per atom): -7.2075
Magnetic moment (μB/atom): 1.25
E_form (uncorrected) (eV per atom): -1.009

a = 11.2736 Å, b = 11.2736 Å, c = 11.2736 Å
α = 22.78°, β = 22.78°, γ = 22.78°
With the nearest neighbours (Å) after each atom.
Atoms (fractional coordinates):
1 Pu 0.1113 0.1113 0.1113  4 S 2.70-2.82
2 Pu 0.8887 0.8887 0.8887  4 S 2.70-2.82
3 Ag 0.3068 0.3068 0.3068  4 Se 2.77-2.78
4 Ag 0.6932 0.6932 0.6932  4 Se 2.77-2.78
5 Se 0.3912 0.3912 0.3912  4 Ag 2.77-2.78
6 Se 0.6088 0.6088 0.6088  4 Ag 2.77-2.78
7 S 0.1968 0.1968 0.1968  4 Pu 2.70-2.82
8 S 0.8032 0.8032 0.8032  4 Pu 2.70-2.82

***

Density functional theory data (PBE) for crystalline Cs2PBrCl5 at its relaxed geometry.

Computed properties:
Space-group type: No. 107
VASP energy (eV per atom): -3.1725
Magnetic moment (μB/atom): 0.00
E_form (uncorrected) (eV per atom): -1.170

a = 7.4577 Å, b = 7.4577 Å, c = 7.4577 Å
α = 119.06°, β = 119.06°, γ = 91.64°
With the nearest neighbours (Å) after each atom.
Atoms (fractional coordinates):
1 Cs 0.0000 0.5000 0.5000  10 Cl 3.74-3.80, 2 Br 3.78
2 Cs 0.5000 0.0000 0.5000  10 Cl 3.74-3.80, 2 Br 3.78
3 P 0.2489 0.2489 0.0000  5 Cl 2.26-2.31
4 Br 0.4927 0.4927 0.0000  1 P 2.53
5 Cl 0.0316 0.0316 0.0000  1 P 2.26
6 Cl 0.0333 0.0333 0.5682  1 P 2.31
7 Cl 0.0333 0.4651 0.0000  1 P 2.31
8 Cl 0.4651 0.0333 0.0000  1 P 2.31
9 Cl 0.4651 0.4651 0.4318  1 P 2.31

***

Density functional theory data (PBE) for crystalline BaPd at its relaxed geometry.

Computed properties:
Space-group type: No. 87
VASP energy (eV per atom): -3.7879
Calculated formation energy (kJ/mol of atoms): -22.21
Magnetic moment (μB/atom): 0.00

a = 8.6623 Å, b = 8.6623 Å, c = 8.6623 Å
α = 94.13°, β = 94.13°, γ = 148.85°
With the nearest neighbours (Å) after each atom.
Atoms (fractional coordinates):
1 Ba 0.0936 0.7523 0.8459  3 Pd 2.99-3.33
2 Ba 0.2477 0.0936 0.3413  3 Pd 2.99-3.33
3 Ba 0.7523 0.9064 0.6587  3 Pd 2.99-3.33
4 Ba 0.9064 0.2477 0.1541  3 Pd 2.99-3.33
5 Pd 0.1004 0.4523 0.5527  1 Pd 2.62
6 Pd 0.4523 0.8996 0.3519  1 Pd 2.62
7 Pd 0.5477 0.1004 0.6481  1 Pd 2.62
8 Pd 0.8996 0.5477 0.4473  1 Pd 2.62

***

Density functional theory data (PBE) for crystalline TaOsPb3 at its relaxed geometry.

Computed properties:
Space-group type: No. 221
Energy above the lowest structure with this stoichiometry (meV/atom): 270
VASP energy (eV per atom): -5.1239
Calculated formation energy (kJ/mol of atoms): 165.73
Magnetic moment (μB/atom): 0.82

a = 5.5012 Å, b = 5.5012 Å, c = 5.5012 Å
α = 90.00°, β = 90.00°, γ = 90.00°
With the nearest neighbours (Å) after each atom.
Atoms (fractional coordinates):
1 Ta 0.0000 0.0000 0.0000  6 Pb 2.75
2 Os 0.5000 0.5000 0.5000  12 Pb 3.89
3 Pb 0.0000 0.0000 0.5000  2 Ta 2.75
4 Pb 0.0000 0.5000 0.0000  2 Ta 2.75
5 Pb 0.5000 0.0000 0.0000  2 Ta 2.75